[1]
The following is a DFT calculation (PBE) of crystalline NbOsW3 at its relaxed geometry.

Geometry as extended XYZ:
```
5
Lattice="4.663 0.000 0.000 0.000 4.663 0.000 0.000 0.000 4.663" Properties=species:S:1:pos:R:3 pbc="T T T"
Nb 0.000 0.000 0.000
Os 2.331 2.331 2.331
W 0.000 2.331 0.000
W 0.000 0.000 2.331
W 2.331 0.000 0.000
```

## Properties
Its energy above the most stable polymorph in this dataset is 788.9 meV per atom. For the density of states at the Fermi level, the calculation gives 4.5 states/eV per cell.

***

[2]
The following is a DFT calculation (PBE) of crystalline Nb2OsW at its relaxed geometry.

Geometry as extended XYZ:
```
8
Lattice="7.330 0.000 0.000 0.000 7.330 0.000 3.665 3.665 2.683" Properties=species:S:1:pos:R:3 pbc="T T T"
Nb 5.593 1.832 0.671
Nb 1.737 5.497 0.671
Nb 5.497 5.402 2.012
Nb 9.162 9.258 2.012
Os 0.000 0.000 0.000
Os 7.330 3.665 1.341
W 3.665 3.665 0.000
W 3.665 7.330 1.341
```

## Properties
Its total energy is -10.4345 eV/atom. For the density of states at the Fermi level, the calculation gives 9.3 states/eV per cell.

***

[3]
The following is a DFT calculation (PBE) of crystalline Y2NbOsW at its relaxed geometry.

Geometry as extended XYZ:
```
5
Lattice="-4.121 -0.869 -3.271 1.296 -4.478 -0.443 -3.046 -1.296 4.182" Properties=species:S:1:pos:R:3 pbc="T T T"
Y -1.523 -0.648 2.091
Y -2.061 -0.435 -1.636
Nb -2.935 -3.321 0.233
Os 0.648 -2.239 -0.222
W 0.000 0.000 0.000
```

## Properties
Its total energy is -8.1287 eV/atom. For the density of states at the Fermi level, the calculation gives 5.7 states/eV per cell.

***

[4]
The following is a DFT calculation (PBE) of crystalline NbZnOs2W at its relaxed geometry.

Geometry as extended XYZ:
```
5
Lattice="-2.946 2.794 2.332 -3.318 -3.288 -0.252 1.489 -1.813 4.052" Properties=species:S:1:pos:R:3 pbc="T T T"
Nb -2.388 -1.154 3.066
Os 0.744 -0.906 2.026
Os -1.473 1.397 1.166
Zn -1.659 -1.644 -0.126
W 0.000 0.000 0.000
```

## Properties
Its total energy is -7.5167 eV/atom. For the density of states at the Fermi level, the calculation gives 7.2 states/eV per cell.

***

[5]
The following is a DFT calculation (PBE) of crystalline ZrNbOsW at its relaxed geometry.

Geometry as extended XYZ:
```
4
Lattice="-4.071 0.949 1.943 -0.782 -1.155 4.394 -0.306 3.279 3.225" Properties=species:S:1:pos:R:3 pbc="T T T"
Nb 0.000 0.000 0.000
Os -1.290 0.768 2.391
Zr -2.580 1.537 4.781
W -3.869 2.305 7.172
```

## Properties
Its total energy is -10.8684 eV/atom. For the density of states at the Fermi level, the calculation gives 2.4 states/eV per cell.

***

[6]
The following is a DFT calculation (PBE) of crystalline YNb2Os at its relaxed geometry.

Geometry as extended XYZ:
```
4
Lattice="-0.563 -1.510 4.417 -2.044 2.781 3.193 -4.299 -1.026 1.603" Properties=species:S:1:pos:R:3 pbc="T T T"
Y 0.000 0.000 0.000
Nb -1.727 0.061 2.303
Nb -5.180 0.183 6.910
Os -3.453 0.122 4.606
```

## Properties
Its energy above the most stable polymorph in this dataset is 0.0 meV per atom. For the density of states at the Fermi level, the calculation gives 4.6 states/eV per cell.

***

[7]
The following is a DFT calculation (PBE) of crystalline YNbOs2 at its relaxed geometry.

Geometry as extended XYZ:
```
4
Lattice="-0.441 -2.903 1.415 4.581 -0.259 0.898 -0.687 2.110 4.115" Properties=species:S:1:pos:R:3 pbc="T T T"
Y -0.221 -1.452 0.708
Nb 1.727 -0.526 3.214
Os -0.343 1.055 2.058
Os 2.291 -0.130 0.449
```

## Properties
Its total energy is -9.8305 eV/atom. For the density of states at the Fermi level, the calculation gives 1.2 states/eV per cell.

***

[8]
The following is a DFT calculation (PBE) of crystalline Y3NbOs at its relaxed geometry.

Geometry as extended XYZ:
```
5
Lattice="-0.014 3.654 -3.689 -2.205 -3.344 -3.304 -4.701 1.558 1.561" Properties=species:S:1:pos:R:3 pbc="T T T"
Y -1.102 -1.672 -1.652
Y -2.350 0.779 0.780
Y -0.007 1.827 -1.844
Nb 0.000 0.000 0.000
Os -3.460 0.934 -2.716
```

## Properties
Its energy above the most stable polymorph in this dataset is 764.6 meV per atom. For the density of states at the Fermi level, the calculation gives 5.8 states/eV per cell.